Record 1
! RbSrHgPb (PBE-GGA, relaxed); values from VASP
&SYSTEM
  ibrav = 0, nat = 4, ntyp = 4
/
ATOMIC_SPECIES
Pb 207.20 Pb.upf
Sr 87.62 Sr.upf
Hg 200.59 Hg.upf
Rb 85.47 Rb.upf
CELL_PARAMETERS angstrom
-2.772 5.248 -0.352
-5.769 0.226 -1.422
-4.018 1.521 4.110
ATOMIC_POSITIONS crystal
Pb 0.250 0.250 0.250
Sr 0.500 0.500 0.500
Hg 0.750 0.750 0.750
Rb 0.000 0.000 0.000
! space-group type	F-43m (216)
! VASP energy	-1.905	eV/atom

=====

Record 2
! Hf2Si2Ge (PBE-GGA, relaxed); values from VASP
&SYSTEM
  ibrav = 0, nat = 10, ntyp = 3
/
ATOMIC_SPECIES
Ge 72.64 Ge.upf
Hf 178.49 Hf.upf
Si 28.09 Si.upf
CELL_PARAMETERS angstrom
6.812 0.000 0.000
0.000 6.812 0.000
0.000 0.000 3.756
ATOMIC_POSITIONS crystal
Ge 0.000 0.000 0.000
Ge 0.500 0.500 0.000
Hf 0.179 0.679 0.500
Hf 0.679 0.821 0.500
Hf 0.821 0.321 0.500
Hf 0.321 0.179 0.500
Si 0.378 0.878 0.000
Si 0.878 0.622 0.000
Si 0.622 0.122 0.000
Si 0.122 0.378 0.000
! space-group type	P4/mbm (127)
! ΔE to the lowest computed polymorph	83.4	meV per atom
! formation energy without anion corrections	-378	meV/atom

=====

Record 3
! MgVCuPt (PBE-GGA, relaxed); values from VASP
&SYSTEM
  ibrav = 0, nat = 4, ntyp = 4
/
ATOMIC_SPECIES
Mg 24.30 Mg.upf
Cu 63.55 Cu.upf
Pt 195.08 Pt.upf
V 50.94 V.upf
CELL_PARAMETERS angstrom
-1.031 2.123 3.662
0.256 -2.035 3.843
3.120 1.090 2.838
ATOMIC_POSITIONS crystal
Mg 0.250 0.250 0.250
Cu 0.500 0.500 0.500
Pt 0.000 0.000 0.000
V 0.750 0.750 0.750
! space-group type	F-43m (216)
! VASP energy	-5.485	eV/atom

=====

Record 4
! Pr2Dy3Er6 (PBE-GGA, relaxed); values from VASP
&SYSTEM
  ibrav = 0, nat = 11, ntyp = 3
/
ATOMIC_SPECIES
Pr 140.91 Pr.upf
Dy 162.50 Dy.upf
Er 167.26 Er.upf
CELL_PARAMETERS angstrom
-4.920 -2.923 2.070
-0.644 -1.024 5.970
-7.143 9.059 1.826
ATOMIC_POSITIONS crystal
Pr 0.167 0.666 0.500
Pr 0.833 0.334 0.500
Dy 0.000 0.000 0.000
Dy 0.335 0.330 0.000
Dy 0.665 0.670 0.000
Er 0.415 0.667 0.754
Er 0.749 0.000 0.754
Er 0.082 0.333 0.754
Er 0.251 0.000 0.246
Er 0.585 0.333 0.246
Er 0.918 0.667 0.246
! space-group type	C2/m (12)
! ΔE to the lowest computed polymorph	0.0	meV per atom

=====

Record 5
! La3ZnIr (PBE-GGA, relaxed); values from VASP
&SYSTEM
  ibrav = 0, nat = 10, ntyp = 3
/
ATOMIC_SPECIES
La 138.91 La.upf
Zn 65.41 Zn.upf
Ir 192.22 Ir.upf
CELL_PARAMETERS angstrom
6.065 0.817 -0.014
1.127 6.046 -0.736
-0.020 -0.513 7.920
ATOMIC_POSITIONS crystal
La 0.639 0.016 0.667
La 0.695 0.319 0.059
La 0.958 0.290 0.473
La 0.061 0.606 0.894
La 0.357 0.594 0.497
La 0.407 0.903 0.172
Zn 0.905 0.771 0.310
Zn 0.171 0.056 0.835
Ir 0.566 0.628 0.811
Ir 0.172 0.360 0.159
! space-group type	P1 (1)
! ΔE to the lowest computed polymorph	40.9	meV per atom

=====

Record 6
! Pm3Zn8Cd3 (PBE-GGA, relaxed); values from VASP
&SYSTEM
  ibrav = 0, nat = 14, ntyp = 3
/
ATOMIC_SPECIES
Pm 145.00 Pm.upf
Zn 65.41 Zn.upf
Cd 112.41 Cd.upf
CELL_PARAMETERS angstrom
-4.482 -0.264 0.642
-2.816 -5.486 -5.896
-1.427 -7.931 2.803
ATOMIC_POSITIONS crystal
Pm 0.500 0.500 0.500
Pm 0.797 0.203 0.203
Pm 0.203 0.797 0.797
Zn 0.648 0.081 0.623
Zn 0.352 0.919 0.377
Zn 0.648 0.623 0.081
Zn 0.352 0.377 0.919
Zn 0.834 0.801 0.530
Zn 0.166 0.199 0.470
Zn 0.834 0.530 0.801
Zn 0.166 0.470 0.199
Cd 0.500 0.000 0.000
Cd 0.000 0.794 0.206
Cd 0.000 0.206 0.794
! space-group type	Immm (71)
! VASP energy	-2.261	eV/atom

=====

Record 7
! TbNd2Sn9 (PBE-GGA, relaxed); values from VASP
&SYSTEM
  ibrav = 0, nat = 12, ntyp = 3
/
ATOMIC_SPECIES
Tb 158.93 Tb.upf
Nd 144.24 Nd.upf
Sn 118.71 Sn.upf
CELL_PARAMETERS angstrom
4.823 0.000 0.000
0.000 4.823 0.000
0.000 0.000 13.893
ATOMIC_POSITIONS crystal
Tb 0.000 0.000 0.000
Nd 0.000 0.000 0.332
Nd 0.000 0.000 0.668
Sn 0.500 0.500 0.000
Sn 0.500 0.500 0.332
Sn 0.500 0.500 0.668
Sn 0.500 0.000 0.163
Sn 0.500 0.000 0.500
Sn 0.500 0.000 0.837
Sn 0.000 0.500 0.163
Sn 0.000 0.500 0.500
Sn 0.000 0.500 0.837
! space-group type	P4/mmm (123)
! VASP energy	-4.660	eV/atom

=====

Record 8
! InAg2Pb (PBE-GGA, relaxed); values from VASP
&SYSTEM
  ibrav = 0, nat = 4, ntyp = 3
/
ATOMIC_SPECIES
Pb 207.20 Pb.upf
Ag 107.87 Ag.upf
In 114.82 In.upf
CELL_PARAMETERS angstrom
-0.447 -9.222 -1.859
-0.862 -9.253 1.527
-3.540 -8.712 -0.514
ATOMIC_POSITIONS crystal
Pb 0.750 0.750 0.750
Ag 0.995 0.995 0.995
Ag 0.505 0.505 0.505
In 0.250 0.250 0.250
! space-group type	R-3m (166)
! VASP energy	-2.964	eV/atom

=====

Record 9
! PuTcRuW (PBE-GGA, relaxed); values from VASP
&SYSTEM
  ibrav = 0, nat = 4, ntyp = 4
/
ATOMIC_SPECIES
Ru 101.07 Ru.upf
Tc 98.00 Tc.upf
W 183.84 W.upf
Pu 244.00 Pu.upf
CELL_PARAMETERS angstrom
-1.470 -0.637 4.288
-2.570 -3.648 1.020
1.741 -3.389 2.537
ATOMIC_POSITIONS crystal
Ru 0.750 0.750 0.750
Tc 0.250 0.250 0.250
W 0.000 0.000 0.000
Pu 0.500 0.500 0.500
! space-group type	F-43m (216)
! VASP energy	-11.597	eV/atom

=====

Record 10
! AgGePOs2 (PBE-GGA, relaxed); values from VASP
&SYSTEM
  ibrav = 0, nat = 5, ntyp = 4
/
ATOMIC_SPECIES
P 30.97 P.upf
Ge 72.64 Ge.upf
Os 190.23 Os.upf
Ag 107.87 Ag.upf
CELL_PARAMETERS angstrom
4.912 0.000 0.000
0.000 4.484 0.000
0.000 0.000 4.912
ATOMIC_POSITIONS crystal
P 0.500 0.500 0.500
Ge 0.000 0.500 0.000
Os 0.000 0.000 0.500
Os 0.500 0.000 0.000
Ag 0.000 0.000 0.000
! space-group type	P4/mmm (123)
! VASP energy	-4.476	eV/atom

=====

Record 11
! Ce2NdY3Se6 (PBE-GGA, relaxed); values from VASP
&SYSTEM
  ibrav = 0, nat = 12, ntyp = 4
/
ATOMIC_SPECIES
Ce 140.12 Ce.upf
Nd 144.24 Nd.upf
Y 88.91 Y.upf
Se 78.96 Se.upf
CELL_PARAMETERS angstrom
-6.751 2.286 -0.493
1.448 -6.987 -0.355
1.109 1.086 7.098
ATOMIC_POSITIONS crystal
Ce 0.333 0.667 0.000
Ce 0.667 0.333 0.000
Nd 0.000 0.000 0.000
Y 0.163 0.837 0.500
Y 0.837 0.163 0.500
Y 0.500 0.500 0.500
Se 0.913 0.577 0.738
Se 0.751 0.751 0.260
Se 0.087 0.423 0.262
Se 0.577 0.913 0.738
Se 0.249 0.249 0.740
Se 0.423 0.087 0.262
! space-group type	C2/m (12)
! formation energy without anion corrections	-1808	meV/atom

=====

Record 12
! CaMn2P (PBE-GGA, relaxed); values from VASP
&SYSTEM
  ibrav = 0, nat = 4, ntyp = 3
/
ATOMIC_SPECIES
Ca 40.08 Ca.upf
Mn 54.94 Mn.upf
P 30.97 P.upf
CELL_PARAMETERS angstrom
5.666 -0.265 0.079
-2.604 5.040 0.079
0.778 1.213 2.597
ATOMIC_POSITIONS crystal
Ca 0.000 0.500 0.500
Mn 0.000 0.000 0.000
Mn 0.500 0.500 0.000
P 0.500 0.000 0.500
! space-group type	C2/m (12)
! VASP energy	-6.153	eV/atom